! BaMgZn3 | the Alexandria database | GGA-PBE | optimized geometry; values from VASP
&SYSTEM
  ibrav = 0, nat = 10, ntyp = 3
/
ATOMIC_SPECIES
Ba 137.33 Ba.upf
Mg 24.30 Mg.upf
Zn 65.41 Zn.upf
ATOMIC_POSITIONS crystal
Ba 0.000 0.000 0.250
Ba 0.000 0.000 0.750
Mg 0.000 0.500 0.000
Mg 0.500 0.000 0.500
Zn 0.000 0.500 0.500
Zn 0.500 0.000 0.000
Zn 0.500 0.500 0.134
Zn 0.500 0.500 0.366
Zn 0.500 0.500 0.634
Zn 0.500 0.500 0.866
CELL_PARAMETERS angstrom
4.517 0.000 0.000
0.000 4.517 0.000
0.000 0.000 11.978
! - DOS(E_F): 8.0 states/eV/cell
! - Energy: -1.6129 eV per atom


! Hf5TaTc6 | the Alexandria database | GGA-PBE | optimized geometry; values from VASP
&SYSTEM
  ibrav = 0, nat = 12, ntyp = 3
/
ATOMIC_SPECIES
Hf 178.49 Hf.upf
Ta 180.95 Ta.upf
Tc 98.00 Tc.upf
ATOMIC_POSITIONS crystal
Hf 0.000 0.000 0.000
Hf 0.333 0.667 0.000
Hf 0.334 0.666 0.500
Hf 0.666 0.334 0.500
Hf 0.667 0.333 0.000
Ta 0.000 0.000 0.500
Tc 0.164 0.836 0.252
Tc 0.164 0.836 0.748
Tc 0.500 0.500 0.255
Tc 0.500 0.500 0.745
Tc 0.836 0.164 0.252
Tc 0.836 0.164 0.748
CELL_PARAMETERS angstrom
2.298 -6.893 0.000
2.298 6.893 0.000
0.000 0.000 6.497
! - DOS(E_F): 9.9 states/eV/cell
! - Energy: -10.8103 eV per atom


! K3TbNb2O9 | the Alexandria database | GGA-PBE | optimized geometry; values from VASP
&SYSTEM
  ibrav = 0, nat = 15, ntyp = 4
/
ATOMIC_SPECIES
K 39.10 K.upf
Tb 158.93 Tb.upf
Nb 92.91 Nb.upf
O 16.00 O.upf
ATOMIC_POSITIONS crystal
K 0.000 0.000 0.000
K 0.333 0.667 0.676
K 0.667 0.333 0.324
Tb 0.000 0.000 0.500
Nb 0.333 0.667 0.175
Nb 0.667 0.333 0.825
O 0.000 0.500 0.000
O 0.175 0.351 0.314
O 0.175 0.825 0.314
O 0.351 0.175 0.686
O 0.500 0.000 0.000
O 0.500 0.500 0.000
O 0.649 0.825 0.314
O 0.825 0.175 0.686
O 0.825 0.649 0.686
CELL_PARAMETERS angstrom
5.964 0.000 0.000
-2.982 5.165 0.000
0.000 0.000 7.351
! - DOS(E_F): 5.7 states/eV/cell
! - ΔE_f (raw): -2302 meV per atom


What did we get for total magnetization? Answer: 0.000 0.000 2.058 μB per formula unit, in the order shown.